VASP calculation (PBE-GGA) on a relaxed structure of ScTiAl2C.

abc: 4.945 4.945 4.636
angles: 90.00 90.00 90.00
Space group P4/mmm (No. 123)
Asymmetric unit:
Sc: 0.000 0.000 0.000 (multiplicity 1)
Ti: 0.000 0.000 0.500 (multiplicity 1)
Al: 0.000 0.500 0.500 (multiplicity 2)
C: 0.500 0.500 0.000 (multiplicity 1)

Values from the calculation:
- total moment (μB/cell) = 0.36
- calculated formation energy (kJ per mole of atoms) = 181.0

VASP calculation (PBE-GGA) on a relaxed structure of ScTi2AlC.

abc: 4.222 4.222 4.415
angles: 90.00 90.00 90.00
Space group P4/mmm (No. 123)
Asymmetric unit:
Sc: 0.000 0.000 0.000 (multiplicity 1)
Ti: 0.000 0.500 0.500 (multiplicity 2)
Al: 0.500 0.500 0.000 (multiplicity 1)
C: 0.000 0.000 0.500 (multiplicity 1)

Values from the calculation:
- total moment (μB/cell) = 0.00
- calculated formation energy (kJ per mole of atoms) = -54.0

VASP calculation (PBE-GGA) on a relaxed structure of Sc2AlTlC.

abc: 4.641 4.641 4.032
angles: 90.00 90.00 90.00
Space group P4/mmm (No. 123)
Asymmetric unit:
Sc: 0.000 0.500 0.000 (multiplicity 2)
Al: 0.000 0.000 0.500 (multiplicity 1)
Tl: 0.500 0.500 0.500 (multiplicity 1)
C: 0.000 0.000 0.000 (multiplicity 1)

Values from the calculation:
- total moment (μB/cell) = 0.00
- calculated formation energy (kJ per mole of atoms) = -39.3

VASP calculation (PBE-GGA) on a relaxed structure of Tm2ScAlC.

abc: 4.796 4.796 4.528
angles: 90.00 90.00 90.00
Space group P4/mmm (No. 123)
Asymmetric unit:
Tm: 0.000 0.500 0.000 (multiplicity 2)
Sc: 0.000 0.000 0.500 (multiplicity 1)
Al: 0.500 0.500 0.500 (multiplicity 1)
C: 0.000 0.000 0.000 (multiplicity 1)

Values from the calculation:
- total moment (μB/cell) = 0.00
- calculated formation energy (kJ per mole of atoms) = -47.6

VASP calculation (PBE-GGA) on a relaxed structure of ScAlV2C.

abc: 4.024 4.024 4.418
angles: 90.00 90.00 90.00
Space group P4/mmm (No. 123)
Asymmetric unit:
Sc: 0.000 0.000 0.000 (multiplicity 1)
Al: 0.500 0.500 0.000 (multiplicity 1)
V: 0.000 0.500 0.500 (multiplicity 2)
C: 0.000 0.000 0.500 (multiplicity 1)

Values from the calculation:
- distance to the lowest polymorph of the same formula (meV per atom) = 0
- total moment (μB/cell) = 0.00
- calculated formation energy (kJ per mole of atoms) = -29.8

VASP calculation (PBE-GGA) on a relaxed structure of YSc2AlC.

abc: 4.549 4.549 4.849
angles: 90.00 90.00 90.00
Space group P4/mmm (No. 123)
Asymmetric unit:
Y: 0.000 0.000 0.000 (multiplicity 1)
Sc: 0.000 0.500 0.500 (multiplicity 2)
Al: 0.500 0.500 0.000 (multiplicity 1)
C: 0.000 0.000 0.500 (multiplicity 1)

Values from the calculation:
- total moment (μB/cell) = 0.00
- calculated formation energy (kJ per mole of atoms) = -49.7

VASP calculation (PBE-GGA) on a relaxed structure of Sc2AlZnC.

abc: 4.553 4.553 3.944
angles: 90.00 90.00 90.00
Space group P4/mmm (No. 123)
Asymmetric unit:
Sc: 0.000 0.500 0.000 (multiplicity 2)
Al: 0.000 0.000 0.500 (multiplicity 1)
Zn: 0.500 0.500 0.500 (multiplicity 1)
C: 0.000 0.000 0.000 (multiplicity 1)

Values from the calculation:
- distance to the lowest polymorph of the same formula (meV per atom) = 0
- total moment (μB/cell) = 0.00
- calculated formation energy (kJ per mole of atoms) = -37.0

VASP calculation (PBE-GGA) on a relaxed structure of Sc2AlZnC.

abc: 4.527 4.527 4.068
angles: 90.00 90.00 90.00
Space group P4/mmm (No. 123)
Asymmetric unit:
Sc: 0.000 0.500 0.000 (multiplicity 2)
Al: 0.000 0.000 0.500 (multiplicity 1)
Zn: 0.500 0.500 0.500 (multiplicity 1)
C: 0.500 0.500 0.000 (multiplicity 1)

Values from the calculation:
- distance to the lowest polymorph of the same formula (meV per atom) = 114
- total moment (μB/cell) = 0.00
- calculated formation energy (kJ per mole of atoms) = -26.0

Which formula does entry 2 have?
ScTi2AlC